YMnIrO2: relaxed, PBE with a Hubbard U.

a b c (Å): 3.9004 4.9408 3.9004
angles (deg): 90.00 90.00 90.00
Closest atoms and distances in Å follow each position.
Element x y z (fractional)
Mn 0.0000 0.0000 0.0000  4 O 1.95
O 0.5000 0.0000 0.0000  2 Mn 1.95
Y 0.5000 0.5000 0.5000  4 Ir 2.76
O 0.0000 0.0000 0.5000  2 Mn 1.95
Ir 0.0000 0.5000 0.0000  2 Mn 2.47, 4 Y 2.76

Energy ... -7.2769 eV/atom
Theoretical density ... 8131 kg/m3